Here is crystalline In4Hg9Bi2 at its relaxed geometry from Alexandria. Energies are from PBE-GGA.

abc: 6.0326 6.0353 24.6467
angles: 83.68 83.68 72.40
Atoms (fractional coordinates):
In 0.0930 0.2148 0.3399
In 0.1951 0.2583 0.4757
In 0.2137 0.0928 0.8398
In 0.2579 0.1959 0.9757
In 0.7421 0.8041 0.0243
In 0.7863 0.9072 0.1602
In 0.8049 0.7417 0.5243
In 0.9070 0.7852 0.6601
Hg 0.0168 0.2784 0.6103
Hg 0.0983 0.3624 0.2067
Hg 0.1496 0.8513 0.2501
Hg 0.2279 0.7173 0.9450
Hg 0.2312 0.5582 0.0737
Hg 0.2797 0.0155 0.1106
Hg 0.2836 0.7714 0.5549
Hg 0.3618 0.0970 0.7066
Hg 0.4409 0.7694 0.4264
Hg 0.5591 0.2306 0.5736
Hg 0.6382 0.9030 0.2934
Hg 0.7164 0.2286 0.4451
Hg 0.7203 0.9845 0.8894
Hg 0.7688 0.4418 0.9263
Hg 0.7721 0.2827 0.0550
Hg 0.8504 0.1487 0.7499
Hg 0.9017 0.6376 0.7933
Hg 0.9832 0.7216 0.3897
Bi 0.4220 0.5430 0.8154
Bi 0.4567 0.5766 0.6846
Bi 0.5433 0.4234 0.3154
Bi 0.5780 0.4570 0.1846

Values from the calculation:
- total DFT energy (no corrections) (eV/atom) = -1.40
- formation energy from the elements (eV per atom) = 0.027
- crystal system = triclinic
- space group = P-1